1.
An optimized crystal structure of Y3Be. Source: Alexandria via LeMat-Bulk, functional PBE-GGA.

a b c (Å): 3.693 3.693 9.469
angles (deg): 90.00 90.00 120.00
Sites, in units of the cell vectors:
Y 0.000 0.000 0.000
Y 0.667 0.333 0.302
Y 0.667 0.333 0.698
Be 0.000 0.000 0.500

Values from the calculation:
**Energy of formation**: 0.21 eV per atom
**Crystal system**: hexagonal

2.
An optimized crystal structure of TbPr2Re. Source: Alexandria via LeMat-Bulk, functional PBE-GGA.

a b c (Å): 3.347 3.347 34.661
angles (deg): 90.00 90.00 120.00
Sites, in units of the cell vectors:
Tb 0.000 0.000 0.000
Tb 0.333 0.667 0.667
Tb 0.667 0.333 0.333
Pr 0.000 0.000 0.423
Pr 0.000 0.000 0.577
Pr 0.333 0.667 0.090
Pr 0.333 0.667 0.244
Pr 0.667 0.333 0.756
Pr 0.667 0.333 0.910
Re 0.000 0.000 0.500
Re 0.333 0.667 0.167
Re 0.667 0.333 0.833

Values from the calculation:
**Energy of formation**: 0.92 eV per atom
**Crystal system**: trigonal

3.
An optimized crystal structure of Nb3SiSb. Source: Alexandria via LeMat-Bulk, functional PBE-GGA.

a b c (Å): 4.695 4.695 4.695
angles (deg): 90.00 90.00 90.00
Sites, in units of the cell vectors:
Nb 0.000 0.000 0.500
Nb 0.000 0.500 0.000
Nb 0.500 0.000 0.000
Si 0.000 0.000 0.000
Sb 0.500 0.500 0.500

Values from the calculation:
**Formation energy without anion corrections**: 247 kJ/mol of formula units
**Crystal system**: cubic

4.
An optimized crystal structure of TcAu2Cl8. Source: Alexandria via LeMat-Bulk, functional PBE-GGA.

a b c (Å): 6.276 7.451 7.634
angles (deg): 74.55 73.53 86.77
Sites, in units of the cell vectors:
Tc 0.000 0.000 0.000
Au 0.182 0.460 0.575
Au 0.818 0.540 0.425
Cl 0.051 0.666 0.121
Cl 0.267 0.070 0.126
Cl 0.268 0.982 0.726
Cl 0.459 0.580 0.296
Cl 0.541 0.420 0.704
Cl 0.732 0.018 0.274
Cl 0.733 0.930 0.874
Cl 0.949 0.334 0.879

Values from the calculation:
**Formation energy without anion corrections**: -393 kJ/mol of formula units
**Crystal system**: triclinic

5.
An optimized crystal structure of PrLuMgBe. Source: Alexandria via LeMat-Bulk, functional PBE-GGA.

a b c (Å): 7.267 7.267 7.267
angles (deg): 90.00 90.00 90.00
Sites, in units of the cell vectors:
Pr 0.000 0.000 0.000
Pr 0.000 0.500 0.500
Pr 0.500 0.000 0.500
Pr 0.500 0.500 0.000
Lu 0.000 0.000 0.500
Lu 0.000 0.500 0.000
Lu 0.500 0.000 0.000
Lu 0.500 0.500 0.500
Mg 0.250 0.250 0.250
Mg 0.250 0.750 0.750
Mg 0.750 0.250 0.750
Mg 0.750 0.750 0.250
Be 0.250 0.250 0.750
Be 0.250 0.750 0.250
Be 0.750 0.250 0.250
Be 0.750 0.750 0.750

Values from the calculation:
**Energy of formation**: 0.11 eV per atom
**Crystal system**: cubic

6.
An optimized crystal structure of TlAu2. Source: Alexandria via LeMat-Bulk, functional PBE-GGA.

a b c (Å): 4.778 4.778 3.569
angles (deg): 90.00 90.00 120.00
Sites, in units of the cell vectors:
Tl 0.000 0.000 0.000
Au 0.333 0.667 0.500
Au 0.667 0.333 0.500

Values from the calculation:
**Energy of formation**: 0.08 eV per atom
**Crystal system**: hexagonal

7.
An optimized crystal structure of La2PmDyHo4. Source: Alexandria via LeMat-Bulk, functional PBE-GGA.

a b c (Å): 9.545 9.545 9.545
angles (deg): 138.17 102.94 91.77
Sites, in units of the cell vectors:
La 0.000 0.000 0.000
La 0.500 0.000 0.000
La 0.500 0.000 0.500
La 0.500 0.500 0.500
Pm 0.000 0.500 0.500
Pm 0.500 0.500 0.000
Dy 0.000 0.000 0.500
Dy 0.000 0.500 0.000
Ho 0.246 0.247 0.502
Ho 0.246 0.250 0.996
Ho 0.246 0.744 0.998
Ho 0.246 0.750 0.496
Ho 0.754 0.250 0.504
Ho 0.754 0.256 0.002
Ho 0.754 0.750 0.004
Ho 0.754 0.753 0.498

Values from the calculation:
**Energy of formation**: 0.40 eV per atom
**Crystal system**: orthorhombic

8.
An optimized crystal structure of Ac2AuN2. Source: Alexandria via LeMat-Bulk, functional PBE-GGA.

a b c (Å): 5.272 5.272 9.376
angles (deg): 90.00 90.00 90.00
Sites, in units of the cell vectors:
Ac 0.000 0.500 0.250
Ac 0.000 0.500 0.750
Ac 0.500 0.000 0.250
Ac 0.500 0.000 0.750
Au 0.000 0.000 0.000
Au 0.500 0.500 0.500
N 0.000 0.000 0.225
N 0.000 0.000 0.775
N 0.500 0.500 0.275
N 0.500 0.500 0.725

Values from the calculation:
**Formation energy without anion corrections**: -312 kJ/mol of formula units
**Crystal system**: tetragonal

9.
An optimized crystal structure of YHf2Cu. Source: Alexandria via LeMat-Bulk, functional PBE-GGA.

a b c (Å): 6.942 6.942 6.942
angles (deg): 90.00 90.00 90.00
Sites, in units of the cell vectors:
Y 0.000 0.000 0.000
Y 0.000 0.500 0.500
Y 0.500 0.000 0.500
Y 0.500 0.500 0.000
Hf 0.250 0.250 0.250
Hf 0.250 0.250 0.750
Hf 0.250 0.750 0.250
Hf 0.250 0.750 0.750
Hf 0.750 0.250 0.250
Hf 0.750 0.250 0.750
Hf 0.750 0.750 0.250
Hf 0.750 0.750 0.750
Cu 0.000 0.000 0.500
Cu 0.000 0.500 0.000
Cu 0.500 0.000 0.000
Cu 0.500 0.500 0.500

Values from the calculation:
**Energy of formation**: 0.40 eV per atom
**Crystal system**: cubic

10.
An optimized crystal structure of ZnAg2Sb. Source: Alexandria via LeMat-Bulk, functional PBE-GGA.

a b c (Å): 3.184 4.510 5.805
angles (deg): 90.00 105.52 90.00
Sites, in units of the cell vectors:
Zn 0.000 0.000 0.000
Ag 0.156 0.500 0.777
Ag 0.844 0.500 0.223
Sb 0.500 0.000 0.500

Values from the calculation:
**Formation energy without anion corrections**: 50 kJ/mol of formula units
**Crystal system**: monoclinic

11.
An optimized crystal structure of Fe3P. Source: Alexandria via LeMat-Bulk, functional PBE-GGA.

a b c (Å): 2.777 2.777 7.007
angles (deg): 90.00 90.00 120.00
Sites, in units of the cell vectors:
Fe 0.000 0.000 0.000
Fe 0.333 0.667 0.281
Fe 0.333 0.667 0.719
P 0.000 0.000 0.500

Values from the calculation:
**Energy of formation**: -0.04 eV per atom
**Crystal system**: hexagonal

12.
An optimized crystal structure of DyY2Sc2In5. Source: Alexandria via LeMat-Bulk, functional PBE-GGA.

a b c (Å): 10.558 10.558 4.649
angles (deg): 90.00 90.00 90.00
Sites, in units of the cell vectors:
Dy 0.000 0.000 0.000
Dy 0.500 0.500 0.000
Y 0.177 0.323 0.000
Y 0.323 0.823 0.000
Y 0.677 0.177 0.000
Y 0.823 0.677 0.000
Sc 0.119 0.619 0.000
Sc 0.381 0.119 0.000
Sc 0.619 0.881 0.000
Sc 0.881 0.381 0.000
In 0.000 0.500 0.500
In 0.068 0.798 0.500
In 0.202 0.068 0.500
In 0.298 0.568 0.500
In 0.432 0.298 0.500
In 0.500 0.000 0.500
In 0.568 0.702 0.500
In 0.702 0.432 0.500
In 0.798 0.932 0.500
In 0.932 0.202 0.500

Values from the calculation:
**Energy of formation**: -0.34 eV per atom
**Crystal system**: tetragonal

13.
An optimized crystal structure of TaTcP2. Source: Alexandria via LeMat-Bulk, functional PBE-GGA.

a b c (Å): 6.188 6.188 6.188
angles (deg): 90.00 90.00 90.00
Sites, in units of the cell vectors:
Ta 0.000 0.000 0.000
Ta 0.000 0.500 0.500
Ta 0.500 0.000 0.500
Ta 0.500 0.500 0.000
Tc 0.250 0.250 0.250
Tc 0.250 0.750 0.750
Tc 0.750 0.250 0.750
Tc 0.750 0.750 0.250
P 0.000 0.000 0.500
P 0.000 0.500 0.000
P 0.250 0.250 0.750
P 0.250 0.750 0.250
P 0.500 0.000 0.000
P 0.500 0.500 0.500
P 0.750 0.250 0.250
P 0.750 0.750 0.750

Values from the calculation:
**Energy of formation**: 0.17 eV per atom
**Crystal system**: cubic

14.
An optimized crystal structure of IrSe3. Source: Alexandria via LeMat-Bulk, functional PBE-GGA.

a b c (Å): 3.477 3.477 7.989
angles (deg): 90.00 90.00 120.00
Sites, in units of the cell vectors:
Ir 0.000 0.000 0.000
Se 0.000 0.000 0.500
Se 0.667 0.333 0.195
Se 0.667 0.333 0.805

Values from the calculation:
**Formation energy without anion corrections**: 106 kJ/mol of formula units
**Crystal system**: hexagonal

15.
An optimized crystal structure of SmGdTlPt. Source: Alexandria via LeMat-Bulk, functional PBE-GGA.

a b c (Å): 7.395 7.395 7.395
angles (deg): 90.00 90.00 90.00
Sites, in units of the cell vectors:
Sm 0.000 0.000 0.000
Sm 0.000 0.500 0.500
Sm 0.500 0.000 0.500
Sm 0.500 0.500 0.000
Gd 0.000 0.000 0.500
Gd 0.000 0.500 0.000
Gd 0.500 0.000 0.000
Gd 0.500 0.500 0.500
Tl 0.250 0.250 0.250
Tl 0.250 0.750 0.750
Tl 0.750 0.250 0.750
Tl 0.750 0.750 0.250
Pt 0.250 0.250 0.750
Pt 0.250 0.750 0.250
Pt 0.750 0.250 0.250
Pt 0.750 0.750 0.750

Values from the calculation:
**Energy of formation**: -0.65 eV per atom
**Crystal system**: cubic

16.
An optimized crystal structure of CdFeSbI2. Source: Alexandria via LeMat-Bulk, functional PBE-GGA.

a b c (Å): 5.593 5.593 4.961
angles (deg): 90.00 90.00 90.00
Sites, in units of the cell vectors:
Cd 0.000 0.000 0.000
Fe 0.500 0.500 0.500
Sb 0.500 0.500 0.000
I 0.000 0.500 0.500
I 0.500 0.000 0.500

Values from the calculation:
**Formation energy without anion corrections**: 164 kJ/mol of formula units
**Crystal system**: tetragonal

17.
An optimized crystal structure of Ca3ReO6F2. Source: Alexandria via LeMat-Bulk, functional PBE-GGA.

a b c (Å): 6.595 6.595 4.911
angles (deg): 90.54 90.54 59.90
Sites, in units of the cell vectors:
Ca 0.000 0.000 0.000
Ca 0.000 0.500 0.500
Ca 0.500 0.000 0.500
Re 0.500 0.500 0.500
O 0.223 0.647 0.279
O 0.353 0.777 0.721
O 0.360 0.360 0.698
O 0.640 0.640 0.302
O 0.647 0.223 0.279
O 0.777 0.353 0.721
F 0.165 0.165 0.255
F 0.835 0.835 0.745

Values from the calculation:
**Formation energy without anion corrections**: -2874 kJ/mol of formula units
**Crystal system**: monoclinic

18.
An optimized crystal structure of Cs2UTe2Se2. Source: Alexandria via LeMat-Bulk, functional PBE-GGA.

a b c (Å): 4.069 7.870 9.889
angles (deg): 113.40 101.83 90.01
Sites, in units of the cell vectors:
Cs 0.147 0.144 0.290
Cs 0.853 0.856 0.710
U 0.000 0.500 0.000
Te 0.164 0.665 0.330
Te 0.836 0.335 0.670
Se 0.500 0.261 0.000
Se 0.500 0.739 0.000

Values from the calculation:
**Formation energy without anion corrections**: -643 kJ/mol of formula units
**Crystal system**: triclinic

19.
An optimized crystal structure of LiDy2Rh. Source: Alexandria via LeMat-Bulk, functional PBE-GGA.

a b c (Å): 3.845 3.845 29.738
angles (deg): 90.00 90.00 120.00
Sites, in units of the cell vectors:
Li 0.000 0.000 0.000
Li 0.333 0.667 0.667
Li 0.667 0.333 0.333
Dy 0.000 0.000 0.114
Dy 0.000 0.000 0.886
Dy 0.333 0.667 0.553
Dy 0.333 0.667 0.781
Dy 0.667 0.333 0.219
Dy 0.667 0.333 0.447
Rh 0.000 0.000 0.500
Rh 0.333 0.667 0.167
Rh 0.667 0.333 0.833

Values from the calculation:
**Energy of formation**: -0.23 eV per atom
**Crystal system**: trigonal

20.
An optimized crystal structure of Be3VAu. Source: Alexandria via LeMat-Bulk, functional PBE-GGA.

a b c (Å): 4.280 4.280 4.280
angles (deg): 90.00 90.00 90.00
Sites, in units of the cell vectors:
Be 0.000 0.000 0.500
Be 0.000 0.500 0.000
Be 0.500 0.000 0.000
V 0.500 0.500 0.500
Au 0.000 0.000 0.000

Values from the calculation:
**Energy of formation**: 0.74 eV per atom
**Crystal system**: cubic

Summary of V in Å³ per atom
28.0, 28.0, 20.7, 30.0, 24.0, 23.5, 33.7, 26.1, 20.9, 20.1, 11.7, 25.9, 14.8, 20.9, 25.3, 31.0, 15.4, 40.5, 31.7, 15.7
(order as listed above)